Record 1
ErSnPd: relaxed, PBE-GGA.

## Properties
ΔE_f = -0.865 eV per atom

The structure in CIF format:
```
data_ErSnPd
_symmetry_space_group_name_H-M 'P -6 m 2'
_symmetry_Int_Tables_number 187
_symmetry_space_group_name_Hall 'P -6 2'
_cell_length_a 4.6427
_cell_length_b 4.6427
_cell_length_c 3.5603
_cell_angle_alpha 90.00
_cell_angle_beta 90.00
_cell_angle_gamma 120.00
loop_
_atom_site_label
_atom_site_type_symbol
_atom_site_fract_x
_atom_site_fract_y
_atom_site_fract_z
Er1 Er 0.0000 0.0000 0.0000
Sn1 Sn 0.3333 0.6667 0.5000
Pd1 Pd 0.6667 0.3333 0.5000
```


Record 2
HfMnGa2: relaxed, PBE-GGA.

## Properties
ΔE_f = -0.042 eV per atom

The structure in CIF format:
```
data_HfMnGa2
_symmetry_space_group_name_H-M 'F m -3 m'
_symmetry_Int_Tables_number 225
_symmetry_space_group_name_Hall '-F 4 2 3'
_cell_length_a 6.194
_cell_length_b 6.194
_cell_length_c 6.194
_cell_angle_alpha 90.00
_cell_angle_beta 90.00
_cell_angle_gamma 90.00
loop_
_atom_site_label
_atom_site_type_symbol
_atom_site_fract_x
_atom_site_fract_y
_atom_site_fract_z
Hf1 Hf 0.000 0.000 0.000
Mn1 Mn 0.000 0.000 0.500
Ga1 Ga 0.250 0.250 0.250
```


Record 3
TbDy5Tl2: relaxed, PBE-GGA.

## Properties
ΔE_f = -0.112 eV per atom

The structure in CIF format:
```
data_TbDy5Tl2
_symmetry_space_group_name_H-M 'I m m m'
_symmetry_Int_Tables_number 71
_symmetry_space_group_name_Hall '-I 2 2'
_cell_length_a 3.608
_cell_length_b 10.505
_cell_length_c 12.668
_cell_angle_alpha 90.00
_cell_angle_beta 90.00
_cell_angle_gamma 90.00
loop_
_atom_site_label
_atom_site_type_symbol
_atom_site_fract_x
_atom_site_fract_y
_atom_site_fract_z
Tb1 Tb 0.000 0.000 0.000
Dy1 Dy 0.000 0.228 0.366
Dy2 Dy 0.000 0.500 0.000
Tl1 Tl 0.000 0.500 0.262
```


Record 4
SrCd2Se2: relaxed, PBE-GGA.

## Properties
Formation energy without anion corrections = -17.0 kcal/mol of atoms

The structure in CIF format:
```
data_SrCd2Se2
_symmetry_space_group_name_H-M 'I 4/m m m'
_symmetry_Int_Tables_number 139
_symmetry_space_group_name_Hall '-I 4 2'
_cell_length_a 4.147
_cell_length_b 4.147
_cell_length_c 15.708
_cell_angle_alpha 90.00
_cell_angle_beta 90.00
_cell_angle_gamma 90.00
loop_
_atom_site_label
_atom_site_type_symbol
_atom_site_fract_x
_atom_site_fract_y
_atom_site_fract_z
Sr1 Sr 0.000 0.000 0.000
Cd1 Cd 0.000 0.500 0.250
Se1 Se 0.000 0.000 0.410
```


Record 5
Ba2LaBi2O6: relaxed, PBE-GGA.

## Properties
Formation energy without anion corrections = -46.7 kcal/mol of atoms

The structure in CIF format:
```
data_Ba2LaBi2O6
_symmetry_space_group_name_H-M 'C 1 2/m 1'
_symmetry_Int_Tables_number 12
_symmetry_space_group_name_Hall '-C 2y'
_cell_length_a 11.046
_cell_length_b 6.686
_cell_length_c 7.286
_cell_angle_alpha 90.00
_cell_angle_beta 118.66
_cell_angle_gamma 90.00
loop_
_atom_site_label
_atom_site_type_symbol
_atom_site_fract_x
_atom_site_fract_y
_atom_site_fract_z
Ba1 Ba 0.209 0.000 0.133
La1 La 0.000 0.000 0.500
Bi1 Bi 0.064 0.500 0.261
O1 O 0.081 0.248 0.789
O2 O 0.214 0.000 0.495
```


Record 6
Zn2CoSi: relaxed, PBE-GGA.

## Properties
Formation energy without anion corrections = 0.2 kcal/mol of atoms

The structure in CIF format:
```
data_Zn2CoSi
_symmetry_space_group_name_H-M 'P 4/m m m'
_symmetry_Int_Tables_number 123
_symmetry_space_group_name_Hall '-P 4 2'
_cell_length_a 3.630
_cell_length_b 3.630
_cell_length_c 3.831
_cell_angle_alpha 90.00
_cell_angle_beta 90.00
_cell_angle_gamma 90.00
loop_
_atom_site_label
_atom_site_type_symbol
_atom_site_fract_x
_atom_site_fract_y
_atom_site_fract_z
Zn1 Zn 0.000 0.500 0.000
Co1 Co 0.000 0.000 0.500
Si1 Si 0.500 0.500 0.500
```


Record 7
CdTcRh2Br: relaxed, PBE-GGA.

## Properties
Formation energy without anion corrections = 41.0 kcal/mol of atoms

The structure in CIF format:
```
data_CdTcRh2Br
_symmetry_space_group_name_H-M 'P 4/m m m'
_symmetry_Int_Tables_number 123
_symmetry_space_group_name_Hall '-P 4 2'
_cell_length_a 4.989
_cell_length_b 4.989
_cell_length_c 5.183
_cell_angle_alpha 90.00
_cell_angle_beta 90.00
_cell_angle_gamma 90.00
loop_
_atom_site_label
_atom_site_type_symbol
_atom_site_fract_x
_atom_site_fract_y
_atom_site_fract_z
Cd1 Cd 0.000 0.000 0.000
Tc1 Tc 0.000 0.000 0.500
Rh1 Rh 0.000 0.500 0.000
Br1 Br 0.500 0.500 0.500
```


Record 8
BaNa2Pd2: relaxed, PBE-GGA.

## Properties
ΔE_f = -0.119 eV per atom

The structure in CIF format:
```
data_BaNa2Pd2
_symmetry_space_group_name_H-M 'P 4/m b m'
_symmetry_Int_Tables_number 127
_symmetry_space_group_name_Hall '-P 4 2ab'
_cell_length_a 8.463
_cell_length_b 8.463
_cell_length_c 3.384
_cell_angle_alpha 90.00
_cell_angle_beta 90.00
_cell_angle_gamma 90.00
loop_
_atom_site_label
_atom_site_type_symbol
_atom_site_fract_x
_atom_site_fract_y
_atom_site_fract_z
Ba1 Ba 0.000 0.000 0.000
Na1 Na 0.115 0.385 0.000
Pd1 Pd 0.184 0.684 0.500
```


How do the records compare in calculated density? In the order shown, they have 9.8; 10.4; 9.5; 5.8; 6.5; 7.2; 6.4; 5.4 g cm⁻³.